The following is a DFT calculation (PBE) of a geometry-optimized CdNiBiAs2 structure.

For the volume, the calculation gives 33.402 A^3/atom. The calculation puts the formation energy at 1.44 eV per atom. As for the raw total energy: -2.5399 eV per atom.

It has space group P4/mmm (No. 123), with a = 5.4878 Å, b = 5.4878 Å, c = 5.5455 Å, α = 90.00°, β = 90.00° and γ = 90.00°. The asymmetric unit holds Cd at (0.0000, 0.0000, 0.0000), Ni at (0.5000, 0.5000, 0.0000), Bi at (0.0000, 0.0000, 0.5000) and As at (0.0000, 0.5000, 0.5000).